# 1
Computed, not measured: a relaxed structure of CeNdCdPb at the PBE level of DFT.

Geometry as CIF:
```
data_CeNdCdPb
_chemical_formula_sum 'Ce2 Nd2 Cd2 Pb2'
_space_group_name_H-M_alt 'P 1'
_space_group_IT_number 1
_space_group_name_Hall 'P 1'
_cell_length_a 5.0815
_cell_length_b 5.0815
_cell_length_c 8.9739
_cell_angle_alpha 90.00
_cell_angle_beta 90.00
_cell_angle_gamma 90.00
loop_
_atom_site_label
_atom_site_type_symbol
_atom_site_fract_x
_atom_site_fract_y
_atom_site_fract_z
Ce1 Ce 0.0000 0.0000 0.0000
Ce2 Ce 0.5000 0.5000 0.5000
Nd1 Nd 0.0000 0.0000 0.5000
Nd2 Nd 0.5000 0.5000 0.0000
Cd1 Cd 0.0000 0.5000 0.2500
Cd2 Cd 0.5000 0.0000 0.7500
Pb1 Pb 0.0000 0.5000 0.7500
Pb2 Pb 0.5000 0.0000 0.2500
```

Properties
ΔH_f (0 K) = -348 meV/atom
Calculated volume = 28.965 Å³/atom
Spin magnetization = 3.029 μB/cell


# 2
Computed, not measured: a relaxed structure of CePmNdCd at the PBE level of DFT.

Geometry as CIF:
```
data_CePmNdCd
_chemical_formula_sum 'Ce4 Pm4 Nd4 Cd4'
_space_group_name_H-M_alt 'P 1'
_space_group_IT_number 1
_space_group_name_Hall 'P 1'
_cell_length_a 7.8481
_cell_length_b 7.8481
_cell_length_c 7.8481
_cell_angle_alpha 90.00
_cell_angle_beta 90.00
_cell_angle_gamma 90.00
loop_
_atom_site_label
_atom_site_type_symbol
_atom_site_fract_x
_atom_site_fract_y
_atom_site_fract_z
Ce1 Ce 0.0000 0.0000 0.0000
Ce2 Ce 0.0000 0.5000 0.5000
Ce3 Ce 0.5000 0.0000 0.5000
Ce4 Ce 0.5000 0.5000 0.0000
Pm1 Pm 0.2500 0.2500 0.7500
Pm2 Pm 0.2500 0.7500 0.2500
Pm3 Pm 0.7500 0.2500 0.2500
Pm4 Pm 0.7500 0.7500 0.7500
Nd1 Nd 0.0000 0.0000 0.5000
Nd2 Nd 0.0000 0.5000 0.0000
Nd3 Nd 0.5000 0.0000 0.0000
Nd4 Nd 0.5000 0.5000 0.5000
Cd1 Cd 0.2500 0.2500 0.2500
Cd2 Cd 0.2500 0.7500 0.7500
Cd3 Cd 0.7500 0.2500 0.7500
Cd4 Cd 0.7500 0.7500 0.2500
```

Properties
ΔH_f (0 K) = 32 meV/atom
Calculated volume = 30.211 Å³/atom
Spin magnetization = 6.747 μB/cell


# 3
Computed, not measured: a relaxed structure of CePrNdCd at the PBE level of DFT.

Geometry as CIF:
```
data_CePrNdCd
_chemical_formula_sum 'Ce4 Pr4 Nd4 Cd4'
_space_group_name_H-M_alt 'P 1'
_space_group_IT_number 1
_space_group_name_Hall 'P 1'
_cell_length_a 7.8064
_cell_length_b 7.8064
_cell_length_c 7.8064
_cell_angle_alpha 90.00
_cell_angle_beta 90.00
_cell_angle_gamma 90.00
loop_
_atom_site_label
_atom_site_type_symbol
_atom_site_fract_x
_atom_site_fract_y
_atom_site_fract_z
Ce1 Ce 0.0000 0.0000 0.0000
Ce2 Ce 0.0000 0.5000 0.5000
Ce3 Ce 0.5000 0.0000 0.5000
Ce4 Ce 0.5000 0.5000 0.0000
Pr1 Pr 0.2500 0.2500 0.7500
Pr2 Pr 0.2500 0.7500 0.2500
Pr3 Pr 0.7500 0.2500 0.2500
Pr4 Pr 0.7500 0.7500 0.7500
Nd1 Nd 0.2500 0.2500 0.2500
Nd2 Nd 0.2500 0.7500 0.7500
Nd3 Nd 0.7500 0.2500 0.7500
Nd4 Nd 0.7500 0.7500 0.2500
Cd1 Cd 0.0000 0.0000 0.5000
Cd2 Cd 0.0000 0.5000 0.0000
Cd3 Cd 0.5000 0.0000 0.0000
Cd4 Cd 0.5000 0.5000 0.5000
```

Properties
ΔH_f (0 K) = 44 meV/atom
Calculated volume = 29.733 Å³/atom
Spin magnetization = 8.511 μB/cell


# 4
Computed, not measured: a relaxed structure of CeNdPuCd at the PBE level of DFT.

Geometry as CIF:
```
data_CeNdPuCd
_chemical_formula_sum 'Ce4 Nd4 Pu4 Cd4'
_space_group_name_H-M_alt 'P 1'
_space_group_IT_number 1
_space_group_name_Hall 'P 1'
_cell_length_a 7.6680
_cell_length_b 7.6680
_cell_length_c 7.6680
_cell_angle_alpha 90.00
_cell_angle_beta 90.00
_cell_angle_gamma 90.00
loop_
_atom_site_label
_atom_site_type_symbol
_atom_site_fract_x
_atom_site_fract_y
_atom_site_fract_z
Ce1 Ce 0.0000 0.0000 0.0000
Ce2 Ce 0.0000 0.5000 0.5000
Ce3 Ce 0.5000 0.0000 0.5000
Ce4 Ce 0.5000 0.5000 0.0000
Nd1 Nd 0.0000 0.0000 0.5000
Nd2 Nd 0.0000 0.5000 0.0000
Nd3 Nd 0.5000 0.0000 0.0000
Nd4 Nd 0.5000 0.5000 0.5000
Pu1 Pu 0.2500 0.2500 0.7500
Pu2 Pu 0.2500 0.7500 0.2500
Pu3 Pu 0.7500 0.2500 0.2500
Pu4 Pu 0.7500 0.7500 0.7500
Cd1 Cd 0.2500 0.2500 0.2500
Cd2 Cd 0.2500 0.7500 0.7500
Cd3 Cd 0.7500 0.2500 0.7500
Cd4 Cd 0.7500 0.7500 0.2500
```

Properties
ΔH_f (0 K) = 42 meV/atom
Calculated volume = 28.179 Å³/atom
Spin magnetization = 31.541 μB/cell


# 5
Computed, not measured: a relaxed structure of CeNdCdRh at the PBE level of DFT.

Geometry as CIF:
```
data_CeNdCdRh
_chemical_formula_sum 'Ce4 Nd4 Cd4 Rh4'
_space_group_name_H-M_alt 'P 1'
_space_group_IT_number 1
_space_group_name_Hall 'P 1'
_cell_length_a 7.3457
_cell_length_b 7.3457
_cell_length_c 7.3457
_cell_angle_alpha 90.00
_cell_angle_beta 90.00
_cell_angle_gamma 90.00
loop_
_atom_site_label
_atom_site_type_symbol
_atom_site_fract_x
_atom_site_fract_y
_atom_site_fract_z
Ce1 Ce 0.0000 0.0000 0.0000
Ce2 Ce 0.0000 0.5000 0.5000
Ce3 Ce 0.5000 0.0000 0.5000
Ce4 Ce 0.5000 0.5000 0.0000
Nd1 Nd 0.0000 0.0000 0.5000
Nd2 Nd 0.0000 0.5000 0.0000
Nd3 Nd 0.5000 0.0000 0.0000
Nd4 Nd 0.5000 0.5000 0.5000
Cd1 Cd 0.2500 0.2500 0.2500
Cd2 Cd 0.2500 0.7500 0.7500
Cd3 Cd 0.7500 0.2500 0.7500
Cd4 Cd 0.7500 0.7500 0.2500
Rh1 Rh 0.2500 0.2500 0.7500
Rh2 Rh 0.2500 0.7500 0.2500
Rh3 Rh 0.7500 0.2500 0.2500
Rh4 Rh 0.7500 0.7500 0.7500
```

Properties
ΔH_f (0 K) = -343 meV/atom
Calculated volume = 24.773 Å³/atom
Spin magnetization = 3.147 μB/cell


# 6
Computed, not measured: a relaxed structure of CeNdCdRu at the PBE level of DFT.

Geometry as CIF:
```
data_CeNdCdRu
_chemical_formula_sum 'Ce4 Nd4 Cd4 Ru4'
_space_group_name_H-M_alt 'P 1'
_space_group_IT_number 1
_space_group_name_Hall 'P 1'
_cell_length_a 7.2974
_cell_length_b 7.2974
_cell_length_c 7.2974
_cell_angle_alpha 90.00
_cell_angle_beta 90.00
_cell_angle_gamma 90.00
loop_
_atom_site_label
_atom_site_type_symbol
_atom_site_fract_x
_atom_site_fract_y
_atom_site_fract_z
Ce1 Ce 0.0000 0.0000 0.0000
Ce2 Ce 0.0000 0.5000 0.5000
Ce3 Ce 0.5000 0.0000 0.5000
Ce4 Ce 0.5000 0.5000 0.0000
Nd1 Nd 0.0000 0.0000 0.5000
Nd2 Nd 0.0000 0.5000 0.0000
Nd3 Nd 0.5000 0.0000 0.0000
Nd4 Nd 0.5000 0.5000 0.5000
Cd1 Cd 0.2500 0.2500 0.7500
Cd2 Cd 0.2500 0.7500 0.2500
Cd3 Cd 0.7500 0.2500 0.2500
Cd4 Cd 0.7500 0.7500 0.7500
Ru1 Ru 0.2500 0.2500 0.2500
Ru2 Ru 0.2500 0.7500 0.7500
Ru3 Ru 0.7500 0.2500 0.7500
Ru4 Ru 0.7500 0.7500 0.2500
```

Properties
ΔH_f (0 K) = -130 meV/atom
Calculated volume = 24.288 Å³/atom
Spin magnetization = 1.528 μB/cell


# 7
Computed, not measured: a relaxed structure of CeNdCdSb at the PBE level of DFT.

Geometry as CIF:
```
data_CeNdCdSb
_chemical_formula_sum 'Ce4 Nd4 Cd4 Sb4'
_space_group_name_H-M_alt 'P 1'
_space_group_IT_number 1
_space_group_name_Hall 'P 1'
_cell_length_a 7.6871
_cell_length_b 7.6871
_cell_length_c 7.6871
_cell_angle_alpha 90.00
_cell_angle_beta 90.00
_cell_angle_gamma 90.00
loop_
_atom_site_label
_atom_site_type_symbol
_atom_site_fract_x
_atom_site_fract_y
_atom_site_fract_z
Ce1 Ce 0.0000 0.0000 0.0000
Ce2 Ce 0.0000 0.5000 0.5000
Ce3 Ce 0.5000 0.0000 0.5000
Ce4 Ce 0.5000 0.5000 0.0000
Nd1 Nd 0.0000 0.0000 0.5000
Nd2 Nd 0.0000 0.5000 0.0000
Nd3 Nd 0.5000 0.0000 0.0000
Nd4 Nd 0.5000 0.5000 0.5000
Cd1 Cd 0.2500 0.2500 0.2500
Cd2 Cd 0.2500 0.7500 0.7500
Cd3 Cd 0.7500 0.2500 0.7500
Cd4 Cd 0.7500 0.7500 0.2500
Sb1 Sb 0.2500 0.2500 0.7500
Sb2 Sb 0.2500 0.7500 0.2500
Sb3 Sb 0.7500 0.2500 0.2500
Sb4 Sb 0.7500 0.7500 0.7500
```

Properties
Formation energy from raw total energies = -0.530 eV/atom
Calculated volume = 28.390 Å³/atom
Spin magnetization = 6.642 μB/cell


# 8
Computed, not measured: a relaxed structure of CeNdScCd at the PBE level of DFT.

Geometry as CIF:
```
data_CeNdScCd
_chemical_formula_sum 'Ce4 Nd4 Sc4 Cd4'
_space_group_name_H-M_alt 'P 1'
_space_group_IT_number 1
_space_group_name_Hall 'P 1'
_cell_length_a 7.6790
_cell_length_b 7.6790
_cell_length_c 7.6790
_cell_angle_alpha 90.00
_cell_angle_beta 90.00
_cell_angle_gamma 90.00
loop_
_atom_site_label
_atom_site_type_symbol
_atom_site_fract_x
_atom_site_fract_y
_atom_site_fract_z
Ce1 Ce 0.0000 0.0000 0.0000
Ce2 Ce 0.0000 0.5000 0.5000
Ce3 Ce 0.5000 0.0000 0.5000
Ce4 Ce 0.5000 0.5000 0.0000
Nd1 Nd 0.0000 0.0000 0.5000
Nd2 Nd 0.0000 0.5000 0.0000
Nd3 Nd 0.5000 0.0000 0.0000
Nd4 Nd 0.5000 0.5000 0.5000
Sc1 Sc 0.2500 0.2500 0.2500
Sc2 Sc 0.2500 0.7500 0.7500
Sc3 Sc 0.7500 0.2500 0.7500
Sc4 Sc 0.7500 0.7500 0.2500
Cd1 Cd 0.2500 0.2500 0.7500
Cd2 Cd 0.2500 0.7500 0.2500
Cd3 Cd 0.7500 0.2500 0.2500
Cd4 Cd 0.7500 0.7500 0.7500
```

Properties
ΔH_f (0 K) = 8 meV/atom
Calculated volume = 28.301 Å³/atom
Spin magnetization = 5.973 μB/cell


# 9
Computed, not measured: a relaxed structure of CeNdCdSi at the PBE level of DFT.

Geometry as CIF:
```
data_CeNdCdSi
_chemical_formula_sum 'Ce4 Nd4 Cd4 Si4'
_space_group_name_H-M_alt 'P 1'
_space_group_IT_number 1
_space_group_name_Hall 'P 1'
_cell_length_a 7.4275
_cell_length_b 7.4275
_cell_length_c 7.4275
_cell_angle_alpha 90.00
_cell_angle_beta 90.00
_cell_angle_gamma 90.00
loop_
_atom_site_label
_atom_site_type_symbol
_atom_site_fract_x
_atom_site_fract_y
_atom_site_fract_z
Ce1 Ce 0.0000 0.0000 0.0000
Ce2 Ce 0.0000 0.5000 0.5000
Ce3 Ce 0.5000 0.0000 0.5000
Ce4 Ce 0.5000 0.5000 0.0000
Nd1 Nd 0.0000 0.0000 0.5000
Nd2 Nd 0.0000 0.5000 0.0000
Nd3 Nd 0.5000 0.0000 0.0000
Nd4 Nd 0.5000 0.5000 0.5000
Cd1 Cd 0.2500 0.2500 0.7500
Cd2 Cd 0.2500 0.7500 0.2500
Cd3 Cd 0.7500 0.2500 0.2500
Cd4 Cd 0.7500 0.7500 0.7500
Si1 Si 0.2500 0.2500 0.2500
Si2 Si 0.2500 0.7500 0.7500
Si3 Si 0.7500 0.2500 0.7500
Si4 Si 0.7500 0.7500 0.2500
```

Properties
Formation energy from raw total energies = -0.318 eV/atom
Calculated volume = 25.610 Å³/atom
Spin magnetization = 3.864 μB/cell


# 10
Computed, not measured: a relaxed structure of Ce2NdCd2Sn2 at the PBE level of DFT.

Geometry as CIF:
```
data_Ce2NdCd2Sn2
_chemical_formula_sum 'Ce2 Nd1 Cd2 Sn2'
_space_group_name_H-M_alt 'P 1'
_space_group_IT_number 1
_space_group_name_Hall 'P 1'
_cell_length_a 9.8364
_cell_length_b 9.8364
_cell_length_c 9.8364
_cell_angle_alpha 28.21
_cell_angle_beta 28.21
_cell_angle_gamma 28.21
loop_
_atom_site_label
_atom_site_type_symbol
_atom_site_fract_x
_atom_site_fract_y
_atom_site_fract_z
Ce1 Ce 0.1464 0.1464 0.1464
Ce2 Ce 0.8536 0.8536 0.8536
Nd1 Nd 0.0000 0.0000 0.0000
Cd1 Cd 0.4224 0.4224 0.4224
Cd2 Cd 0.5776 0.5776 0.5776
Sn1 Sn 0.2697 0.2697 0.2697
Sn2 Sn 0.7303 0.7303 0.7303
```

Properties
ΔH_f (0 K) = -298 meV/atom
Calculated volume = 26.840 Å³/atom
Spin magnetization = 2.863 μB/cell


# 11
Computed, not measured: a relaxed structure of CeNd2Cd2Sn2 at the PBE level of DFT.

Geometry as CIF:
```
data_CeNd2Cd2Sn2
_chemical_formula_sum 'Ce1 Nd2 Cd2 Sn2'
_space_group_name_H-M_alt 'P 1'
_space_group_IT_number 1
_space_group_name_Hall 'P 1'
_cell_length_a 9.6214
_cell_length_b 9.6214
_cell_length_c 9.6214
_cell_angle_alpha 30.27
_cell_angle_beta 30.27
_cell_angle_gamma 30.27
loop_
_atom_site_label
_atom_site_type_symbol
_atom_site_fract_x
_atom_site_fract_y
_atom_site_fract_z
Ce1 Ce 0.0000 0.0000 0.0000
Nd1 Nd 0.1274 0.1274 0.1274
Nd2 Nd 0.8726 0.8726 0.8726
Cd1 Cd 0.3932 0.3932 0.3932
Cd2 Cd 0.6068 0.6068 0.6068
Sn1 Sn 0.2611 0.2611 0.2611
Sn2 Sn 0.7389 0.7389 0.7389
```

Properties
ΔH_f (0 K) = -310 meV/atom
Calculated volume = 28.651 Å³/atom
Spin magnetization = 0.953 μB/cell


# 12
Computed, not measured: a relaxed structure of CeNd2Tl2Cd2 at the PBE level of DFT.

Geometry as CIF:
```
data_CeNd2Tl2Cd2
_chemical_formula_sum 'Ce1 Nd2 Tl2 Cd2'
_space_group_name_H-M_alt 'P 1'
_space_group_IT_number 1
_space_group_name_Hall 'P 1'
_cell_length_a 9.4182
_cell_length_b 9.4182
_cell_length_c 9.4182
_cell_angle_alpha 31.41
_cell_angle_beta 31.41
_cell_angle_gamma 31.41
loop_
_atom_site_label
_atom_site_type_symbol
_atom_site_fract_x
_atom_site_fract_y
_atom_site_fract_z
Ce1 Ce 0.0000 0.0000 0.0000
Nd1 Nd 0.1286 0.1286 0.1286
Nd2 Nd 0.8714 0.8714 0.8714
Tl1 Tl 0.2682 0.2682 0.2682
Tl2 Tl 0.7318 0.7318 0.7318
Cd1 Cd 0.4091 0.4091 0.4091
Cd2 Cd 0.5909 0.5909 0.5909
```

Properties
ΔH_f (0 K) = -145 meV/atom
Calculated volume = 28.766 Å³/atom
Spin magnetization = 1.222 μB/cell